[1]
TlIn2Br: optimized geometry, GGA-PBE.

The structure belongs to space group R3m (No. 160, hexagonal axes); the cell edges are 3.7407, 3.7407 and 29.8888 Å and the angles 90.00°, 90.00° and 120.00°. The inequivalent atoms are Tl at (0.0000, 0.0000, 0.0000), In at (0.0000, 0.0000, 0.5046), In at (0.0000, 0.0000, 0.7551) and Br at (0.0000, 0.0000, 0.2421).

For the raw total energy, the calculation gives -2.59 eV/atom. Its energy relative to the lowest polymorph listed for this composition is 40 meV/atom. As for the formation energy (no corrections): -0.9 eV per formula unit. As for the crystal system: trigonal. The value obtained for the calculated density is 7.07 g/cm3.

[2]
NpTi2Ni: optimized geometry, GGA-PBE.

The structure belongs to space group P4/mmm (No. 123); the cell edges are 4.6671, 4.6671 and 2.9128 Å and the angles 90.00°, 90.00° and 90.00°. The inequivalent atoms are Np at (0.0000, 0.0000, 0.0000), Ti at (0.0000, 0.5000, 0.5000) and Ni at (0.5000, 0.5000, 0.0000).

For the raw total energy, the calculation gives -8.55 eV/atom. Its energy relative to the lowest polymorph listed for this composition is 100 meV/atom. As for the crystal system: tetragonal. The value obtained for the calculated density is 10.24 g/cm3. The calculated formation energy is 0.0811 eV/atom.

[3]
Er6SbC3: optimized geometry, GGA-PBE.

The structure belongs to space group P2_1/m (No. 11); the cell edges are 10.2919, 3.6187 and 11.5970 Å and the angles 90.00°, 101.99° and 90.00°. The inequivalent atoms are Er at (0.0240, 0.2500, 0.1256), Er at (0.1103, 0.7500, 0.4499), Er at (0.1773, 0.2500, 0.7483), Er at (0.2917, 0.7500, 0.0226), Er at (0.3057, 0.2500, 0.3038), Er at (0.4200, 0.2500, 0.5849), Sb at (0.4538, 0.7500, 0.8199), C at (0.0293, 0.7500, 0.6533), C at (0.1378, 0.2500, 0.9475) and C at (0.3517, 0.7500, 0.4427).

For the raw total energy, the calculation gives -6.34 eV/atom. As for the formation energy (no corrections): -4.2 eV per formula unit. As for the crystal system: monoclinic. The value obtained for the calculated density is 9.13 g/cm3.

[4]
K8AsAu2O: optimized geometry, GGA-PBE.

The structure belongs to space group P2/m (No. 10); the cell edges are 5.8600, 10.1558 and 7.8077 Å and the angles 90.00°, 97.15° and 90.00°. The inequivalent atoms are K at (0.0040, 0.0000, 0.2374), K at (0.1117, 0.5000, 0.8021), K at (0.4515, 0.2800, 0.2201), As at (0.5000, 0.0000, 0.0000), Au at (0.0000, 0.2733, 0.5000) and O at (0.5000, 0.5000, 0.0000).

For the raw total energy, the calculation gives -2.50 eV/atom. As for the formation energy (no corrections): -5.1 eV per formula unit. As for the crystal system: monoclinic. The value obtained for the calculated density is 2.87 g/cm3.

[5]
MgCr4S8: optimized geometry, GGA-PBE.

The structure belongs to space group R-3m (No. 166, hexagonal axes); the cell edges are 6.9478, 6.9478 and 17.1150 Å and the angles 90.00°, 90.00° and 120.00°. The inequivalent atoms are Mg at (0.0000, 0.0000, 0.0000), Cr at (0.0000, 0.0000, 0.5000), Cr at (0.0000, 0.5000, 0.0000), S at (0.0000, 0.0000, 0.2584) and S at (0.0193, 0.5096, 0.2521).

For the raw total energy, the calculation gives -6.33 eV/atom. Its energy relative to the lowest polymorph listed for this composition is 24 meV/atom. As for the formation energy (no corrections): -9.2 eV per formula unit. As for the crystal system: trigonal. The value obtained for the calculated density is 3.40 g/cm3.

[6]
RbLi2Hg2: optimized geometry, GGA-PBE.

The structure belongs to space group P4/mbm (No. 127); the cell edges are 8.6417, 8.6417 and 3.4262 Å and the angles 90.00°, 90.00° and 90.00°. The inequivalent atoms are Rb at (0.0000, 0.0000, 0.0000), Li at (0.1231, 0.3769, 0.0000) and Hg at (0.1572, 0.6572, 0.5000).

For the raw total energy, the calculation gives -1.26 eV/atom. Its energy relative to the lowest polymorph listed for this composition is 1 meV/atom. As for the crystal system: tetragonal. The value obtained for the calculated density is 6.50 g/cm3. The calculated formation energy is -0.1820 eV/atom.

[7]
MgGePd: optimized geometry, GGA-PBE.

The structure belongs to space group Cmcm (No. 63); the cell edges are 3.6189, 19.8439 and 3.1606 Å and the angles 90.00°, 90.00° and 90.00°. The inequivalent atoms are Mg at (0.0000, 0.0663, 0.2500), Ge at (0.0000, 0.3455, 0.2500) and Pd at (0.0000, 0.2069, 0.2500).

For the raw total energy, the calculation gives -4.08 eV/atom. As for the crystal system: orthorhombic. The value obtained for the calculated density is 5.95 g/cm3. The calculated formation energy is -0.2804 eV/atom.

[8]
Bi2AsP2: optimized geometry, GGA-PBE.

The structure belongs to space group I4/mmm (No. 139); the cell edges are 3.6476, 3.6476 and 17.2978 Å and the angles 90.00°, 90.00° and 90.00°. The inequivalent atoms are Bi at (0.0000, 0.0000, 0.1003), As at (0.0000, 0.0000, 0.5000) and P at (0.0000, 0.5000, 0.2500).

For the raw total energy, the calculation gives -4.34 eV/atom. As for the crystal system: tetragonal. The value obtained for the calculated density is 8.01 g/cm3. The calculated formation energy is 0.3067 eV/atom.

[9]
Zn2PdN: optimized geometry, GGA-PBE.

The structure belongs to space group I-42d (No. 122); the cell edges are 6.3738, 6.3738 and 5.2406 Å and the angles 90.00°, 90.00° and 90.00°. The inequivalent atoms are Zn at (0.1676, 0.7500, 0.1250), Pd at (0.0000, 0.0000, 0.5000) and N at (0.0000, 0.0000, 0.0000).

For the raw total energy, the calculation gives -3.78 eV/atom. As for the formation energy (no corrections): 1.0 eV per formula unit. As for the crystal system: tetragonal. The value obtained for the calculated density is 7.84 g/cm3.

[10]
VNi4W2: optimized geometry, GGA-PBE.

The structure belongs to space group I4/mmm (No. 139); the cell edges are 4.3936, 4.3936 and 11.7890 Å and the angles 90.00°, 90.00° and 90.00°. The inequivalent atoms are V at (0.0000, 0.0000, 0.0000), Ni at (0.0000, 0.0000, 0.1906), Ni at (0.0000, 0.5000, 0.0000) and W at (0.0000, 0.0000, 0.3962).

For the raw total energy, the calculation gives -7.19 eV/atom. As for the crystal system: tetragonal. The value obtained for the calculated density is 9.54 g/cm3. The calculated formation energy is 1.1185 eV/atom.

[11]
CrPd4Rh: optimized geometry, GGA-PBE.

The structure belongs to space group Fddd (No. 70, origin choice 2); the cell edges are 5.3791, 9.1680 and 14.9908 Å and the angles 90.00°, 90.00° and 90.00°. The inequivalent atoms are Cr at (0.1250, 0.1250, 0.1250), Pd at (0.1244, 0.3730, 0.0331) and Rh at (0.1250, 0.1250, 0.6250).

For the raw total energy, the calculation gives -6.19 eV/atom. As for the crystal system: orthorhombic. The value obtained for the calculated density is 10.43 g/cm3. The calculated formation energy is 0.1032 eV/atom.

[12]
PmTh2Tl: optimized geometry, GGA-PBE.

The structure belongs to space group P4/mmm (No. 123); the cell edges are 4.8731, 4.8731 and 5.1286 Å and the angles 90.00°, 90.00° and 90.00°. The inequivalent atoms are Pm at (0.0000, 0.0000, 0.0000), Th at (0.0000, 0.5000, 0.5000) and Tl at (0.5000, 0.5000, 0.0000).

For the raw total energy, the calculation gives -5.59 eV/atom. Its energy relative to the lowest polymorph listed for this composition is 9 meV/atom. As for the crystal system: tetragonal. The value obtained for the calculated density is 11.09 g/cm3. The calculated formation energy is -0.1017 eV/atom.